Compound: LaPm4Sn4
Source: the Alexandria database
Functional: GGA-PBE
Structure: optimized geometry

a b c (Å): 10.0873 10.0873 6.3071
angles (deg): 90.00 90.00 90.00
Fractional positions:
La  0.2500  0.2500  0.2500
La  0.7500  0.7500  0.7500
Pm  0.0896  0.6502  0.1386
Pm  0.1502  0.9104  0.6386
Pm  0.3498  0.5896  0.6386
Pm  0.4104  0.8498  0.1386
Pm  0.5896  0.1502  0.8614
Pm  0.6502  0.4104  0.3614
Pm  0.8498  0.0896  0.3614
Pm  0.9104  0.3498  0.8614
Sn  0.0341  0.6149  0.6445
Sn  0.1149  0.9659  0.1445
Sn  0.3851  0.5341  0.1445
Sn  0.4659  0.8851  0.6445
Sn  0.5341  0.1149  0.3555
Sn  0.6149  0.4659  0.8555
Sn  0.8851  0.0341  0.8555
Sn  0.9659  0.3851  0.3555

Summary:
Its calculated volume is 641.8 Å³ per cell. The size of the total moment comes out at 0.0 μB per formula unit. The energy of formation comes out at -0.4735 eV per atom. The space-group type is P4_2/n, No. 86. For the density of states at the Fermi level, the calculation gives 1.17 states/eV per atom.



Compound: La2PmSn
Source: the Alexandria database
Functional: GGA-PBE
Structure: optimized geometry

a b c (Å): 4.9456 4.9456 5.0896
angles (deg): 90.00 90.00 90.00
Fractional positions:
La  0.0000  0.5000  0.0000
La  0.5000  0.0000  0.0000
Pm  0.0000  0.0000  0.5000
Sn  0.5000  0.5000  0.5000

Summary:
Its calculated volume is 124.5 Å³ per cell. The size of the total moment comes out at 0.0 μB per formula unit. The value obtained for the polymorph energy (0 for the lowest one) is 0.0 meV per atom. The energy of formation comes out at -0.4761 eV per atom. The space-group type is P4/mmm, No. 123. For the density of states at the Fermi level, the calculation gives 1.21 states/eV per atom.



Compound: La4Pm3Sn4
Source: the Alexandria database
Functional: GGA-PBE
Structure: optimized geometry

a b c (Å): 11.0106 11.0106 11.0106
angles (deg): 160.29 128.28 55.88
Fractional positions:
La  0.0028  0.8342  0.1685
La  0.3343  0.1658  0.1685
La  0.6657  0.8342  0.8315
La  0.9972  0.1658  0.8315
Pm  0.0000  0.5000  0.5000
Pm  0.4105  0.4105  0.0000
Pm  0.5895  0.5895  0.0000
Sn  0.2754  0.0000  0.2754
Sn  0.2792  0.7792  0.5000
Sn  0.7208  0.2208  0.5000
Sn  0.7246  0.0000  0.7246

Summary:
Its calculated volume is 352.2 Å³ per cell. The size of the total moment comes out at 0.0 μB per formula unit. The energy of formation comes out at -0.5976 eV per atom. The space-group type is Immm, No. 71. For the density of states at the Fermi level, the calculation gives 0.78 states/eV per atom.